(1)
Entry from the Alexandria database: an optimized crystal structure of Cs2Rb6HgPd (PBE).

Summary:
N(E_F) ... 0.857 states/eV/atom
Energy of formation from the pure elements ... 4 meV/atom

Unit cell a=10.094 b=10.115 c=14.283 alpha=90.00 beta=90.00 gamma=90.00
Space group Imm2 (No. 44)
Symmetry-distinct sites (fractional):
Cs 0.000 0.000 0.000 x2
Cs 0.000 0.000 0.500 x2
Rb 0.000 0.500 0.014 x2
Rb 0.000 0.500 0.486 x2
Rb 0.236 0.264 0.250 x8
Hg 0.000 0.500 0.750 x2
Pd 0.000 0.500 0.250 x2

***

(2)
Entry from the Alexandria database: an optimized crystal structure of Cs2RbHgPd (PBE).

Summary:
N(E_F) ... 0.515 states/eV/atom
Energy relative to the lowest polymorph listed for this composition ... 0 meV/atom
Energy of formation from the pure elements ... -24 meV/atom

Unit cell a=6.970 b=6.970 c=5.463 alpha=90.00 beta=90.00 gamma=90.00
Space group P4/mmm (No. 123)
Symmetry-distinct sites (fractional):
Cs 0.000 0.500 0.000 x2
Rb 0.000 0.000 0.500 x1
Hg 0.500 0.500 0.500 x1
Pd 0.500 0.500 0.000 x1

***

(3)
Entry from the Alexandria database: an optimized crystal structure of Cs2RbHg2Pd (PBE).

Summary:
N(E_F) ... 0.476 states/eV/atom
Energy of formation from the pure elements ... -160 meV/atom

Unit cell a=9.570 b=15.111 c=7.727 alpha=90.00 beta=90.00 gamma=90.00
Space group Ibam (No. 72)
Symmetry-distinct sites (fractional):
Cs 0.162 0.178 0.000 x8
Rb 0.000 0.500 0.250 x4
Hg 0.187 0.070 0.500 x8
Pd 0.000 0.000 0.250 x4

***

(4)
Entry from the Alexandria database: an optimized crystal structure of CsRb2HgPd (PBE).

Summary:
N(E_F) ... 0.966 states/eV/atom
Energy relative to the lowest polymorph listed for this composition ... 69 meV/atom
Energy of formation from the pure elements ... 52 meV/atom

Unit cell a=6.545 b=6.545 c=6.722 alpha=90.00 beta=90.00 gamma=90.00
Space group P4/mmm (No. 123)
Symmetry-distinct sites (fractional):
Cs 0.000 0.000 0.000 x1
Rb 0.000 0.500 0.500 x2
Hg 0.500 0.500 0.000 x1
Pd 0.000 0.000 0.500 x1

***

(5)
Entry from the Alexandria database: an optimized crystal structure of CsHgPdRh2 (PBE).

Summary:
N(E_F) ... 1.107 states/eV/atom
Energy of formation from the pure elements ... 823 meV/atom

Unit cell a=5.027 b=5.027 c=5.301 alpha=90.00 beta=90.00 gamma=90.00
Space group P4/mmm (No. 123)
Symmetry-distinct sites (fractional):
Cs 0.000 0.000 0.000 x1
Hg 0.500 0.500 0.000 x1
Pd 0.500 0.500 0.500 x1
Rh 0.000 0.500 0.500 x2

***

(6)
Entry from the Alexandria database: an optimized crystal structure of CsHgPdS2 (PBE).

Summary:
Uncorrected formation energy ... -0.430 eV per atom
N(E_F) ... 0.527 states/eV/atom

Unit cell a=7.618 b=4.851 c=7.641 alpha=90.00 beta=97.60 gamma=90.00
Space group P2/c (No. 13)
Symmetry-distinct sites (fractional):
Cs 0.000 0.142 0.250 x2
Hg 0.500 0.000 0.000 x2
Pd 0.500 0.499 0.250 x2
S 0.293 0.382 0.972 x4

***

(7)
Entry from the Alexandria database: an optimized crystal structure of CsHgPd2S (PBE).

Summary:
Uncorrected formation energy ... 0.631 eV per atom
N(E_F) ... 1.206 states/eV/atom

Unit cell a=5.174 b=5.174 c=6.922 alpha=90.00 beta=90.00 gamma=90.00
Space group P4/mmm (No. 123)
Symmetry-distinct sites (fractional):
Cs 0.000 0.000 0.000 x1
Hg 0.000 0.000 0.500 x1
Pd 0.000 0.500 0.500 x2
S 0.500 0.500 0.000 x1

***

(8)
Entry from the Alexandria database: an optimized crystal structure of CsHg2PdS (PBE).

Summary:
Uncorrected formation energy ... -0.314 eV per atom
N(E_F) ... 0.667 states/eV/atom

Unit cell a=5.429 b=5.429 c=4.992 alpha=90.00 beta=90.00 gamma=90.00
Space group P4/mmm (No. 123)
Symmetry-distinct sites (fractional):
Cs 0.000 0.000 0.000 x1
Hg 0.000 0.500 0.500 x2
Pd 0.500 0.500 0.500 x1
S 0.500 0.500 0.000 x1

***

(9)
Entry from the Alexandria database: an optimized crystal structure of Cs4Hg2Sb2Pd (PBE).

Summary:
Uncorrected formation energy ... -0.259 eV per atom
N(E_F) ... 0.521 states/eV/atom

Unit cell a=13.653 b=9.616 c=6.566 alpha=90.00 beta=99.55 gamma=90.00
Space group C2/m (No. 12)
Symmetry-distinct sites (fractional):
Cs 0.114 0.248 0.261 x8
Hg 0.158 0.500 0.815 x4
Sb 0.156 0.000 0.779 x4
Pd 0.000 0.000 0.500 x2

***

(10)
Entry from the Alexandria database: an optimized crystal structure of CsHgSbPd2 (PBE).

Summary:
Uncorrected formation energy ... -0.289 eV per atom
N(E_F) ... 0.353 states/eV/atom

Unit cell a=7.211 b=4.669 c=10.254 alpha=90.00 beta=103.22 gamma=90.00
Space group P2_1/m (No. 11)
Symmetry-distinct sites (fractional):
Cs 0.062 0.250 0.258 x2
Hg 0.387 0.750 0.063 x2
Sb 0.341 0.750 0.544 x2
Pd 0.459 0.750 0.808 x2
Pd 0.470 0.250 0.651 x2

***

N(E_F) of number 6 (CsHgPdS2)?
0.527 states/eV/atom

***

Which of these has the lowest N(E_F)?
CsHgSbPd2

***

Among the records above, which one has the highest N(E_F)?
CsHgPd2S